Entry 1
Here is crystalline FeBSbI2 at its relaxed geometry from Alexandria via LeMat-Bulk. Energies are from PBE-GGA.

Cell and atoms, written as POSCAR:
```
FeBSbI2
1.0
4.962 0.000 0.000
0.000 4.962 0.000
0.000 0.000 5.018
Fe B Sb I
1 1 1 2
direct
0.000 0.000 0.000
0.500 0.500 0.500
0.500 0.500 0.000
0.000 0.500 0.500
0.500 0.000 0.500
```

SG = P4/mmm (123)
total moment = 3.61 μB per formula unit

Entry 2
Here is crystalline FeBSbI2 at its relaxed geometry from Alexandria via LeMat-Bulk. Energies are from PBE-GGA.

Cell and atoms, written as POSCAR:
```
FeBSbI2
1.0
5.490 0.000 0.000
0.000 5.490 0.000
0.000 0.000 4.899
Fe B Sb I
1 1 1 2
direct
0.000 0.000 0.000
0.500 0.500 0.500
0.000 0.000 0.500
0.000 0.500 0.000
0.500 0.000 0.000
```

SG = P4/mmm (123)
total moment = 2.44 μB per formula unit

Short version: entry 2 is the least stable of them.